Record 1
Gd2YNi, relaxed, DFT GGA-PBE; density of states at the Fermi level = 5.0 states/eV/f.u.; symmetry = No. 166; calculated volume = 29.64 A^3/atom; crystal system = trigonal; theoretical density = 6.47 g/cm3; DFT total energy = -10.02 eV per atom; energy of formation from the pure elements = 77 meV per atom; relative energy among the computed polymorphs = 212 meV/atom
1.0
3.6386 0.0000 0.0000
1.8193 3.1511 0.0000
1.8193 1.0504 10.3404
Y Gd Ni
1 2 1
direct
0.0000 0.0000 0.0000
0.1114 0.1114 0.6658
0.8886 0.8886 0.3342
0.5000 0.5000 0.5000

=====

Record 2
Ce4Ga2Os, relaxed, DFT GGA-PBE; density of states at the Fermi level = 14.3 states/eV/f.u.; symmetry = No. 65; calculated volume = 22.68 A^3/atom; crystal system = orthorhombic; theoretical density = 9.31 g/cm3; DFT total energy = -6.16 eV per atom; energy of formation from the pure elements = -301 meV per atom; relative energy among the computed polymorphs = 0 meV/atom
1.0
4.5454 0.0000 0.0000
0.0000 5.8482 -0.9787
0.0000 0.2959 5.9221
Ce Ga Os
4 2 1
direct
0.0000 0.8282 0.8282
0.0000 0.1718 0.1718
0.5000 0.5000 0.0000
0.5000 0.0000 0.5000
0.0000 0.6747 0.3253
0.0000 0.3253 0.6747
0.5000 0.5000 0.5000

=====

Record 3
NaHfSc, relaxed, DFT GGA-PBE; density of states at the Fermi level = 6.0 states/eV/f.u.; symmetry = No. 216; calculated volume = 30.46 A^3/atom; crystal system = cubic; theoretical density = 4.48 g/cm3; DFT total energy = -4.46 eV per atom; energy of formation from the pure elements = 1405 meV per atom; relative energy among the computed polymorphs = 1245 meV/atom
1.0
0.0000 3.5749 3.5749
3.5749 0.0000 3.5749
3.5749 3.5749 0.0000
Hf Sc Na
1 1 1
direct
0.7500 0.7500 0.7500
0.0000 0.0000 0.0000
0.2500 0.2500 0.2500

=====

Record 4
TbSmHo6Er2, relaxed, DFT GGA-PBE; density of states at the Fermi level = 14.7 states/eV/f.u.; symmetry = No. 15; calculated volume = 31.76 A^3/atom; crystal system = monoclinic; theoretical density = 8.54 g/cm3; DFT total energy = -4.47 eV per atom; energy of formation from the pure elements = 123 meV per atom
1.0
9.0467 -1.9735 -2.0480
0.8112 8.4631 -1.9843
0.8112 -2.2966 8.3838
Er Ho Sm Tb
4 12 2 2
direct
0.4541 0.8029 0.6975
0.9541 0.6975 0.8029
0.5459 0.1971 0.3025
0.0459 0.3025 0.1971
0.3813 0.5081 0.2918
0.3175 0.9803 0.4329
0.8175 0.4329 0.9803
0.8813 0.2918 0.5081
0.9433 0.8777 0.2490
0.0567 0.1223 0.7510
0.5567 0.7510 0.1223
0.4433 0.2490 0.8777
0.1187 0.7082 0.4919
0.6187 0.4919 0.7082
0.6825 0.0197 0.5671
0.1825 0.5671 0.0197
0.7500 0.0258 0.9742
0.2500 0.9742 0.0258
0.7500 0.5909 0.4091
0.2500 0.4091 0.5909

=====

Record 5
K2Ti2Re, relaxed, DFT GGA-PBE; density of states at the Fermi level = 5.8 states/eV/f.u.; symmetry = No. 127; calculated volume = 22.31 A^3/atom; crystal system = tetragonal; theoretical density = 5.36 g/cm3; DFT total energy = -4.08 eV per atom; energy of formation from the pure elements = 2007 meV per atom; relative energy among the computed polymorphs = 0 meV/atom
1.0
-0.2814 8.9002 1.9383
-8.4104 0.4908 -3.4748
-1.0312 -0.5590 2.4169
Ti K Re
4 4 2
direct
0.8008 0.3008 0.5000
0.6992 0.8008 0.5000
0.1992 0.6992 0.5000
0.3008 0.1992 0.5000
0.8896 0.6104 0.0000
0.1104 0.3896 0.0000
0.3896 0.8896 0.0000
0.6104 0.1104 0.0000
0.0000 0.0000 0.0000
0.5000 0.5000 0.0000

=====

Record 6
KYZn2, relaxed, DFT GGA-PBE; density of states at the Fermi level = 4.1 states/eV/f.u.; symmetry = No. 119; calculated volume = 26.13 A^3/atom; crystal system = tetragonal; theoretical density = 4.11 g/cm3; DFT total energy = -2.22 eV per atom; energy of formation from the pure elements = 304 meV per atom; relative energy among the computed polymorphs = 333 meV/atom
1.0
6.0235 -0.0281 0.0000
2.6494 5.4097 0.0000
-4.3364 -2.6908 3.1998
Zn Y K
2 1 1
direct
0.0000 0.0000 0.0000
0.2500 0.7500 0.5000
0.7500 0.2500 0.5000
0.5000 0.5000 0.0000

=====

Record 7
Tm7Cu3, relaxed, DFT GGA-PBE; density of states at the Fermi level = 13.7 states/eV/f.u.; symmetry = No. 186; calculated volume = 24.91 A^3/atom; crystal system = hexagonal; theoretical density = 9.16 g/cm3; DFT total energy = -4.48 eV per atom; energy of formation from the pure elements = -125 meV per atom
1.0
6.1657 0.0000 0.0000
0.0000 8.3645 -4.8292
0.0000 0.0000 9.6585
Cu Tm
6 14
direct
0.3638 0.3810 0.1905
0.3638 0.8095 0.6190
0.8638 0.1905 0.8095
0.8638 0.6190 0.8095
0.8638 0.1905 0.3810
0.3638 0.8095 0.1905
0.4350 0.7459 0.8730
0.6306 0.5394 0.4606
0.9350 0.8730 0.1270
0.1306 0.4606 0.9211
0.9350 0.8730 0.7459
0.6197 0.3333 0.6667
0.9350 0.2541 0.1270
0.1197 0.6667 0.3333
0.4350 0.1270 0.8730
0.6306 0.5394 0.0789
0.1306 0.0788 0.5394
0.4350 0.1270 0.2541
0.6306 0.9212 0.4606
0.1306 0.4606 0.5394

=====

Record 8
Y2CdCl, relaxed, DFT GGA-PBE; density of states at the Fermi level = 6.1 states/eV/f.u.; symmetry = No. 216; calculated volume = 28.46 A^3/atom; crystal system = cubic; theoretical density = 4.75 g/cm3; DFT total energy = -3.82 eV per atom; raw formation energy = 10 kJ per mole of atoms; relative energy among the computed polymorphs = 898 meV/atom
1.0
-3.6805 2.5636 3.0781
-2.0519 -2.4559 4.3989
1.3538 1.7472 4.9706
Cl Y Cd
1 2 1
direct
0.7500 0.7500 0.7500
0.0000 0.0000 0.0000
0.2500 0.2500 0.2500
0.5000 0.5000 0.5000

=====

Record 9
Nb2Ga3Tc, relaxed, DFT GGA-PBE; density of states at the Fermi level = 6.5 states/eV/f.u.; symmetry = No. 71; calculated volume = 17.06 A^3/atom; crystal system = orthorhombic; theoretical density = 8.00 g/cm3; DFT total energy = -6.50 eV per atom; energy of formation from the pure elements = 97 meV per atom
1.0
-3.2040 -1.9005 2.6825
0.2871 -4.4238 -2.7913
4.4971 1.7159 2.6591
Nb Ga Tc
2 3 1
direct
0.3286 0.8286 0.6572
0.6714 0.1714 0.3428
0.6580 0.6580 0.3159
0.3420 0.3420 0.6841
0.0000 0.0000 0.0000
0.0000 0.5000 0.0000

=====

Record 10
LiEuDyLu, relaxed, DFT GGA-PBE; density of states at the Fermi level = 3.9 states/eV/f.u.; symmetry = No. 216; calculated volume = 30.50 A^3/atom; crystal system = cubic; theoretical density = 6.76 g/cm3; DFT total energy = -5.13 eV per atom; energy of formation from the pure elements = 201 meV per atom
1.0
5.5670 0.0000 0.0000
2.7835 4.8212 0.0000
2.7835 1.6071 4.5455
Eu Li Lu Dy
1 1 1 1
direct
0.7500 0.7500 0.7500
0.0000 0.0000 0.0000
0.5000 0.5000 0.5000
0.2500 0.2500 0.2500

=====

Record 11
Er3Mg4Pd4, relaxed, DFT GGA-PBE; density of states at the Fermi level = 6.4 states/eV/f.u.; symmetry = No. 71; calculated volume = 21.07 A^3/atom; crystal system = orthorhombic; theoretical density = 7.34 g/cm3; DFT total energy = -4.37 eV per atom; energy of formation from the pure elements = -655 meV per atom
1.0
-1.7105 3.4266 -0.4327
-1.3316 0.3425 7.9765
8.0645 1.5012 -2.8249
Er Mg Pd
3 4 4
direct
0.1134 0.1134 0.2268
0.8866 0.8866 0.7732
0.0000 0.5000 0.0000
0.6717 0.8625 0.3433
0.6717 0.4808 0.3433
0.3283 0.1375 0.6567
0.3283 0.5192 0.6567
0.5000 0.1958 0.0000
0.7606 0.2606 0.5211
0.2394 0.7394 0.4789
0.5000 0.8042 0.0000

=====

Record 12
BaAlSeBr2, relaxed, DFT GGA-PBE; density of states at the Fermi level = 1.0 states/eV/f.u.; symmetry = No. 123; calculated volume = 29.78 A^3/atom; crystal system = tetragonal; theoretical density = 4.50 g/cm3; DFT total energy = -3.73 eV per atom; raw formation energy = -119 kJ per mole of atoms; relative energy among the computed polymorphs = 0 meV/atom
1.0
-2.1723 2.3879 -4.2376
-0.2712 -4.6933 -2.5056
-4.7835 -0.7938 2.0048
Br Al Ba Se
2 1 1 1
direct
0.0000 0.5000 0.0000
0.5000 0.0000 0.0000
0.0000 0.0000 0.0000
0.5000 0.5000 0.5000
0.0000 0.0000 0.5000

=====

Record 13
ReRuAu2, relaxed, DFT GGA-PBE; density of states at the Fermi level = 3.8 states/eV/f.u.; symmetry = No. 123; calculated volume = 16.05 A^3/atom; crystal system = tetragonal; theoretical density = 17.62 g/cm3; DFT total energy = -6.49 eV per atom; energy of formation from the pure elements = 584 meV per atom; relative energy among the computed polymorphs = 425 meV/atom
1.0
-1.0708 2.4633 0.6934
-1.5048 -1.2141 1.9892
6.2244 1.1778 5.4273
Au Re Ru
2 1 1
direct
0.0000 0.0000 0.5001
0.0000 0.0000 0.9999
0.5000 0.5000 0.2500
0.5000 0.5000 0.7500

=====

Record 14
KNbCo2, relaxed, DFT GGA-PBE; density of states at the Fermi level = 2.9 states/eV/f.u.; symmetry = No. 225; calculated volume = 16.64 A^3/atom; crystal system = cubic; theoretical density = 6.23 g/cm3; DFT total energy = -5.18 eV per atom; energy of formation from the pure elements = 1167 meV per atom; relative energy among the computed polymorphs = 19 meV/atom
1.0
1.6981 -4.2153 0.2099
2.2645 -1.3582 3.7045
-1.8563 -3.0630 2.8051
K Nb Co
1 1 2
direct
0.0000 0.0000 0.0000
0.5000 0.5000 0.5000
0.7500 0.7500 0.7500
0.2500 0.2500 0.2500

=====

Record 15
AcPr2Ir, relaxed, DFT GGA-PBE; density of states at the Fermi level = 3.9 states/eV/f.u.; symmetry = No. 160; calculated volume = 36.26 A^3/atom; crystal system = trigonal; theoretical density = 8.03 g/cm3; DFT total energy = -5.94 eV per atom; energy of formation from the pure elements = -308 meV per atom; relative energy among the computed polymorphs = 115 meV/atom
1.0
-2.9990 2.7600 -0.9483
-3.6336 -1.3250 -1.5977
-5.7844 -0.3704 7.9823
Ir Ac Pr
1 1 2
direct
0.6663 0.6663 0.0012
0.5010 0.5010 0.4970
0.2794 0.2794 0.1618
0.0533 0.0533 0.8400

=====

Record 16
Li2CaAl, relaxed, DFT GGA-PBE; density of states at the Fermi level = 2.7 states/eV/f.u.; symmetry = No. 99; calculated volume = 22.49 A^3/atom; crystal system = tetragonal; theoretical density = 1.49 g/cm3; DFT total energy = -2.44 eV per atom; energy of formation from the pure elements = -50 meV per atom
1.0
3.3521 0.0000 0.0000
0.0000 3.3521 0.0000
0.0000 0.0000 8.0073
Li Al Ca
2 1 1
direct
0.0000 0.0000 0.0571
0.5000 0.5000 0.2629
0.0000 0.0000 0.4519
0.5000 0.5000 0.7281

=====

Record 17
CaAl2Zn, relaxed, DFT GGA-PBE; density of states at the Fermi level = 1.9 states/eV/f.u.; symmetry = No. 8; calculated volume = 21.33 A^3/atom; crystal system = monoclinic; theoretical density = 3.10 g/cm3; DFT total energy = -2.74 eV per atom; energy of formation from the pure elements = -51 meV per atom
1.0
-2.8233 -3.9008 -0.1203
-1.3695 -3.6273 2.8581
-4.9055 2.1526 2.1968
Al Ca Zn
2 1 1
direct
0.0020 0.0020 0.9979
0.2634 0.2634 0.1834
0.4978 0.4978 0.5056
0.7368 0.7368 0.8131

=====

Record 18
NaMnGeTe3, relaxed, DFT GGA-PBE; density of states at the Fermi level = 3.1 states/eV/f.u.; symmetry = No. 11; calculated volume = 29.32 A^3/atom; crystal system = monoclinic; theoretical density = 5.03 g/cm3; DFT total energy = -4.33 eV per atom; raw formation energy = -23 kJ per mole of atoms
1.0
4.2392 0.0000 0.0000
0.0000 8.9261 0.4690
0.0000 -1.8964 9.1988
Na Te Mn Ge
2 6 2 2
direct
0.2500 0.1662 0.2177
0.7500 0.8338 0.7823
0.7500 0.4277 0.1672
0.2500 0.5723 0.8328
0.2500 0.7797 0.4681
0.2500 0.1107 0.8563
0.7500 0.8893 0.1437
0.7500 0.2203 0.5319
0.7500 0.9319 0.4197
0.2500 0.0681 0.5803
0.7500 0.3540 0.8697
0.2500 0.6460 0.1303

=====

Record 19
LiScAg2, relaxed, DFT GGA-PBE; density of states at the Fermi level = 4.3 states/eV/f.u.; symmetry = No. 71; calculated volume = 19.30 A^3/atom; crystal system = orthorhombic; theoretical density = 5.76 g/cm3; DFT total energy = -3.24 eV per atom; energy of formation from the pure elements = 244 meV per atom
1.0
5.0426 -1.5910 -2.9233
-1.4250 5.0920 2.9233
-3.5605 0.0596 4.8810
Li Ag Sc
1 2 1
direct
0.0000 0.0000 0.0000
0.0000 0.7720 0.7720
0.0000 0.2280 0.2280
0.0000 0.5000 0.5000

=====

Record 20
KRb5Cd4, relaxed, DFT GGA-PBE; density of states at the Fermi level = 6.1 states/eV/f.u.; symmetry = No. 12; calculated volume = 57.38 A^3/atom; crystal system = monoclinic; theoretical density = 2.65 g/cm3; DFT total energy = -0.99 eV per atom; energy of formation from the pure elements = -26 meV per atom
1.0
5.1084 0.0000 -1.0660
-0.9385 8.8052 -4.4976
0.0449 -0.4527 12.9884
Rb Cd K
5 4 1
direct
0.1579 0.2789 0.3158
0.8049 0.2140 0.6097
0.5000 0.5000 0.0000
0.1951 0.7860 0.3903
0.8421 0.7211 0.6842
0.0609 0.8466 0.1217
0.6266 0.9419 0.2532
0.9391 0.1534 0.8783
0.3734 0.0581 0.7468
0.5000 0.0000 0.0000

=====

Record 21
Rb2SrPb2, relaxed, DFT GGA-PBE; density of states at the Fermi level = 2.2 states/eV/f.u.; symmetry = No. 139; calculated volume = 44.53 A^3/atom; crystal system = tetragonal; theoretical density = 5.02 g/cm3; DFT total energy = -2.31 eV per atom; energy of formation from the pure elements = -107 meV per atom; relative energy among the computed polymorphs = 0 meV/atom
1.0
-2.4370 -3.4146 2.9939
4.5396 -1.7382 1.7127
0.8480 3.0293 8.5812
Sr Rb Pb
1 2 2
direct
0.0000 0.0000 0.0000
0.7500 0.2500 0.5000
0.2500 0.7500 0.5000
0.4136 0.4136 0.1728
0.5864 0.5864 0.8272

=====

Record 22
KCaHgPb, relaxed, DFT GGA-PBE; density of states at the Fermi level = 4.6 states/eV/f.u.; symmetry = No. 216; calculated volume = 32.01 A^3/atom; crystal system = cubic; theoretical density = 6.31 g/cm3; DFT total energy = -2.04 eV per atom; energy of formation from the pure elements = -262 meV per atom
1.0
-5.3125 0.2087 1.9349
-4.3305 -0.9444 -3.5163
-3.0321 -4.7544 0.4595
Pb Ca K Hg
1 1 1 1
direct
0.0000 0.0000 0.0000
0.2500 0.2500 0.2500
0.7500 0.7500 0.7500
0.5000 0.5000 0.5000

=====

Record 23
LiNp2SnSe4, relaxed, DFT GGA-PBE; density of states at the Fermi level = 20.1 states/eV/f.u.; symmetry = No. 10; calculated volume = 25.71 A^3/atom; crystal system = monoclinic; theoretical density = 7.39 g/cm3; DFT total energy = -6.63 eV per atom; raw formation energy = -88 kJ per mole of atoms
1.0
-2.2309 -3.2674 -1.2661
-0.0384 -2.6090 6.8007
-5.7463 2.5778 3.4725
Se Li Sn Np
4 1 1 2
direct
0.0000 0.7599 0.7391
0.0000 0.2401 0.2609
0.5000 0.7547 0.2547
0.5000 0.2453 0.7453
0.0000 0.5000 0.5000
0.5000 0.5000 0.0000
0.0000 0.0000 0.0000
0.5000 0.0000 0.5000

=====

Record 24
CePm2YN4, relaxed, DFT GGA-PBE; density of states at the Fermi level = 3.0 states/eV/f.u.; symmetry = No. 10; calculated volume = 15.99 A^3/atom; crystal system = monoclinic; theoretical density = 7.46 g/cm3; DFT total energy = -8.43 eV per atom; raw formation energy = -147 kJ per mole of atoms
1.0
-0.2981 -2.7648 2.2366
-3.0222 -3.1715 -4.3234
6.0523 -1.0839 -0.5332
N Ce Pm Y
4 1 2 1
direct
0.5000 0.2448 0.2383
0.0000 0.7498 0.2385
0.0000 0.2502 0.7615
0.5000 0.7552 0.7617
0.0000 0.0000 0.0000
0.0000 0.5000 0.5000
0.5000 0.0000 0.5000
0.5000 0.5000 0.0000

=====

Record 25
LaPr4Y, relaxed, DFT GGA-PBE; density of states at the Fermi level = 10.8 states/eV/f.u.; symmetry = No. 216; calculated volume = 36.73 A^3/atom; crystal system = cubic; theoretical density = 5.96 g/cm3; DFT total energy = -4.86 eV per atom; energy of formation from the pure elements = 227 meV per atom; relative energy among the computed polymorphs = 130 meV/atom
1.0
-6.0232 -3.0796 -0.4533
-0.4596 -6.1498 -2.8172
-1.3421 -5.4071 3.8640
La Y Pr
1 1 4
direct
0.2500 0.2500 0.2500
0.0000 0.0000 0.0000
0.6260 0.6260 0.1220
0.6260 0.1220 0.6260
0.6260 0.6260 0.6260
0.1220 0.6260 0.6260

=====

Record 26
Zr2InW, relaxed, DFT GGA-PBE; density of states at the Fermi level = 4.3 states/eV/f.u.; symmetry = No. 44; calculated volume = 20.65 A^3/atom; crystal system = orthorhombic; theoretical density = 9.67 g/cm3; DFT total energy = -8.11 eV per atom; energy of formation from the pure elements = 88 meV per atom
1.0
5.6402 -0.0039 -0.0163
2.5201 5.0459 0.0163
-3.7431 -3.0665 2.8979
W In Zr
1 1 2
direct
0.2449 0.7449 0.5000
0.4876 0.4876 0.0000
0.7527 0.2527 0.5000
0.0147 0.0147 0.0000